Ho2Cd3Pb: relaxed, PBE.

energy of formation	-309.3	meV per atom

Lattice parameters (Å, degrees): 6.111 6.111 9.985 114.31 114.31 69.79
Fractional positions:
Ho  0.750  0.250  0.500
Ho  0.752  0.248  0.000
Ho  0.250  0.750  0.500
Ho  0.248  0.752  0.000
Cd  0.837  0.837  0.162
Cd  0.674  0.674  0.838
Cd  0.163  0.163  0.838
Cd  0.326  0.326  0.162
Cd  0.162  0.162  0.325
Cd  0.838  0.838  0.675
Pb  0.666  0.666  0.332
Pb  0.334  0.334  0.668

Ho5Cd2Pb: relaxed, PBE.

energy of formation	-289.6	meV per atom

Lattice parameters (Å, degrees): 8.299 8.299 8.784 118.19 118.19 90.00
Fractional positions:
Ho  0.503  0.695  0.698
Ho  0.805  0.997  0.302
Ho  0.000  0.000  0.000
Ho  0.500  0.500  0.000
Ho  0.195  0.003  0.698
Ho  0.695  0.195  0.698
Ho  0.003  0.503  0.698
Ho  0.305  0.805  0.302
Ho  0.997  0.497  0.302
Ho  0.497  0.305  0.302
Cd  0.137  0.363  0.000
Cd  0.637  0.137  0.000
Cd  0.363  0.863  0.000
Cd  0.863  0.637  0.000
Pb  0.750  0.750  0.500
Pb  0.250  0.250  0.500